Here is Tm4CdCo after structural relaxation from the Alexandria database. Energies are from PBE-GGA.

Values from the calculation:
**M_tot**: 0.000 μB per atom
**V**: 581 Å³ per cell
**Energy of formation from the pure elements**: -25.81 kJ per mole of atoms

abc: 9.364 9.364 9.364
angles: 60.00 60.00 60.00
Fractional positions:
Tm  0.812  0.812  0.188
Tm  0.562  0.938  0.938
Tm  0.938  0.562  0.562
Tm  0.789  0.404  0.404
Cd  0.169  0.492  0.169
Tm  0.812  0.188  0.812
Tm  0.404  0.404  0.404
Tm  0.562  0.562  0.938
Co  0.609  0.173  0.609
Cd  0.492  0.169  0.169
Tm  0.938  0.562  0.938
Tm  0.188  0.812  0.812
Tm  0.938  0.938  0.562
Tm  0.188  0.812  0.188
Cd  0.169  0.169  0.169
Tm  0.404  0.404  0.789
Tm  0.562  0.938  0.562
Cd  0.169  0.169  0.492
Co  0.609  0.609  0.609
Tm  0.188  0.188  0.812
Tm  0.404  0.789  0.404
Co  0.173  0.609  0.609
Co  0.609  0.609  0.173
Tm  0.812  0.188  0.188


Here is TaSe after structural relaxation from the Alexandria database. Energies are from PBE-GGA.

Values from the calculation:
**M_tot**: 0.000 μB per atom
**Uncorrected formation energy**: 562 meV/atom
**V**: 355 Å³ per cell

abc: 7.078 7.078 7.078
angles: 90.00 90.00 90.00
Fractional positions:
Se  0.500  0.000  0.250
Ta  0.500  0.750  0.000
Se  0.000  0.250  0.500
Se  0.000  0.750  0.500
Ta  0.500  0.250  0.000
Ta  0.250  0.000  0.500
Se  0.750  0.500  0.000
Ta  0.000  0.500  0.750
Se  0.250  0.500  0.000
Ta  0.750  0.000  0.500
Se  0.500  0.000  0.750
Ta  0.000  0.500  0.250


Here is CoP2 after structural relaxation from the Alexandria database. Energies are from PBE-GGA.

Values from the calculation:
**M_tot**: 0.000 μB per atom
**V**: 92 Å³ per cell
**Energy of formation from the pure elements**: -16.59 kJ per mole of atoms

abc: 3.427 5.397 6.075
angles: 90.00 124.63 90.00
Fractional positions:
Co  0.164  0.500  0.760
P  0.880  0.195  0.474
P  0.880  0.305  0.974
Co  0.164  0.000  0.260
P  0.880  0.695  0.974
P  0.880  0.805  0.474


Q: The lowest V belongs to which entry?
A: CoP2


Q: What is the formula in the first record?
A: Tm4CdCo


Q: Look up the M_tot of the second one.
A: 0.000 μB per atom